# 1
Material: Co3GeTe
Method: DFT, GGA-PBE
State: relaxed

Cell lengths 4.3834, 4.3834, 4.3834 Å; angles 90.00, 90.00, 90.00 degrees
With the nearest neighbours (Å) after each atom.
Element x y z (fractional)
Ge  0.0000  0.0000  0.0000  6 Co 2.19
Te  0.5000  0.5000  0.5000  12 Co 3.10
Co  0.0000  0.5000  0.0000  2 Ge 2.19
Co  0.0000  0.0000  0.5000  2 Ge 2.19
Co  0.5000  0.0000  0.0000  2 Ge 2.19

Summary:
V in A^3/atom: 16.8
Total moment in μB/cell: 2.7
Uncorrected energy in eV per cell: -25.56
Space-group type: No. 221
ΔE_f (raw) in eV per atom: 0.70



# 2
Material: CoGeTe
Method: DFT, GGA-PBE
State: relaxed

Cell lengths 5.2105, 3.7178, 3.7178 Å; angles 120.00, 90.00, 90.00 degrees
With the nearest neighbours (Å) after each atom.
Element x y z (fractional)
Ge  0.1217  0.0000  0.0000  3 Co 2.35
Te  0.5714  0.3333  0.6667  3 Co 2.55
Co  0.3069  0.6667  0.3333  3 Ge 2.35, 3 Te 2.55

Summary:
V in A^3/atom: 20.8
Total moment in μB/cell: 0.0
Uncorrected energy in eV per cell: -14.76
Space-group type: No. 156
ΔE_f (raw) in eV per atom: 0.03



# 3
Material: Co2Ge2Te
Method: DFT, GGA-PBE
State: relaxed

Cell lengths 7.2435, 7.2435, 2.9195 Å; angles 90.00, 90.00, 90.00 degrees
With the nearest neighbours (Å) after each atom.
Element x y z (fractional)
Ge  0.1401  0.6401  0.5000  6 Co 2.53-2.64
Ge  0.6401  0.8599  0.5000  6 Co 2.53-2.64
Ge  0.8599  0.3599  0.5000  6 Co 2.53-2.64
Ge  0.3599  0.1401  0.5000  6 Co 2.53-2.64
Te  0.0000  0.0000  0.0000  4 Co 2.78, 2 Te 2.92
Te  0.5000  0.5000  0.0000  4 Co 2.78, 2 Te 2.92
Co  0.3553  0.8553  0.0000  6 Ge 2.53-2.64, 2 Te 2.78
Co  0.8553  0.6447  0.0000  6 Ge 2.53-2.64, 2 Te 2.78
Co  0.6447  0.1447  0.0000  6 Ge 2.53-2.64, 2 Te 2.78
Co  0.1447  0.3553  0.0000  6 Ge 2.53-2.64, 2 Te 2.78

Summary:
V in A^3/atom: 15.3
Total moment in μB/cell: 0.0
Uncorrected energy in eV per cell: -51.90
Space-group type: No. 127
ΔE_f (raw) in eV per atom: 0.13



# 4
Material: CoGeTe3
Method: DFT, GGA-PBE
State: relaxed

Cell lengths 5.0360, 5.0360, 5.0360 Å; angles 90.00, 90.00, 90.00 degrees
With the nearest neighbours (Å) after each atom.
Element x y z (fractional)
Ge  0.5000  0.5000  0.5000  12 Te 3.56
Te  0.0000  0.5000  0.0000  2 Co 2.52
Te  0.0000  0.0000  0.5000  2 Co 2.52
Te  0.5000  0.0000  0.0000  2 Co 2.52
Co  0.0000  0.0000  0.0000  6 Te 2.52

Summary:
V in A^3/atom: 25.5
Total moment in μB/cell: 0.0
Uncorrected energy in eV per cell: -18.97
Space-group type: No. 221
ΔE_f (raw) in eV per atom: 0.43



# 5
Material: Co3GeTe
Method: DFT, GGA-PBE
State: relaxed

Cell lengths 4.6463, 4.6463, 4.6463 Å; angles 90.00, 90.00, 90.00 degrees
With the nearest neighbours (Å) after each atom.
Element x y z (fractional)
Ge  0.5000  0.5000  0.5000  12 Co 3.29
Te  0.0000  0.0000  0.0000  6 Co 2.32
Co  0.0000  0.5000  0.0000  2 Te 2.32
Co  0.0000  0.0000  0.5000  2 Te 2.32
Co  0.5000  0.0000  0.0000  2 Te 2.32

Summary:
V in A^3/atom: 20.1
Total moment in μB/cell: 3.1
Uncorrected energy in eV per cell: -23.55
Space-group type: No. 221
ΔE_f (raw) in eV per atom: 1.10



# 6
Material: Co2GeTe
Method: DFT, GGA-PBE
State: relaxed

Cell lengths 4.4060, 4.4060, 4.4060 Å; angles 60.00, 60.00, 60.00 degrees
With the nearest neighbours (Å) after each atom.
Element x y z (fractional)
Ge  0.0000  0.0000  0.0000  8 Co 2.70
Te  0.5000  0.5000  0.5000  8 Co 2.70
Co  0.2500  0.2500  0.2500  4 Te 2.70, 4 Ge 2.70
Co  0.7500  0.7500  0.7500  4 Te 2.70, 4 Ge 2.70

Summary:
V in A^3/atom: 15.1
Total moment in μB/cell: 2.1
Uncorrected energy in eV per cell: -20.80
Space-group type: No. 225
ΔE_f (raw) in eV per atom: 0.29



# 7
Material: CoGeTe
Method: DFT, GGA-PBE
State: relaxed

Cell lengths 5.1797, 6.3528, 7.0734 Å; angles 90.35, 90.00, 90.00 degrees
With the nearest neighbours (Å) after each atom.
Element x y z (fractional)
Co  0.4800  0.2395  0.6335  3 Ge 2.33-2.41, 3 Te 2.51-2.56
Co  0.9800  0.7605  0.8665  3 Ge 2.33-2.41, 3 Te 2.51-2.56
Co  0.5200  0.7605  0.3665  3 Ge 2.33-2.41, 3 Te 2.51-2.56
Co  0.0200  0.2395  0.1335  3 Ge 2.33-2.41, 3 Te 2.51-2.56
Ge  0.6940  0.9167  0.6505  3 Co 2.33-2.41
Ge  0.8060  0.9167  0.1505  3 Co 2.33-2.41
Ge  0.3060  0.0833  0.3495  3 Co 2.33-2.41
Ge  0.1940  0.0833  0.8495  3 Co 2.33-2.41
Te  0.2745  0.5828  0.1054  3 Co 2.51-2.56
Te  0.2255  0.5828  0.6054  3 Co 2.51-2.56
Te  0.7255  0.4172  0.8946  3 Co 2.51-2.56
Te  0.7745  0.4172  0.3946  3 Co 2.51-2.56

Summary:
V in A^3/atom: 19.4
Total moment in μB/cell: 0.0
Uncorrected energy in eV per cell: -60.69
Space-group type: No. 14
ΔE_f (raw) in eV per atom: -0.10



# 8
Material: Co2Ge2Te
Method: DFT, GGA-PBE
State: relaxed

Cell lengths 3.7289, 3.7289, 6.3154 Å; angles 72.83, 72.83, 90.00 degrees
With the nearest neighbours (Å) after each atom.
Element x y z (fractional)
Ge  0.7500  0.2500  0.5000  4 Co 2.40, 4 Ge 2.64
Ge  0.2500  0.7500  0.5000  4 Co 2.40, 4 Ge 2.64
Te  0.0000  0.0000  0.0000  8 Co 2.96
Co  0.3820  0.3820  0.2360  4 Ge 2.40
Co  0.6180  0.6180  0.7640  4 Ge 2.40

Summary:
V in A^3/atom: 16.0
Total moment in μB/cell: 0.0
Uncorrected energy in eV per cell: -26.15
Space-group type: No. 139
ΔE_f (raw) in eV per atom: 0.09



# 9
Material: CoGeTe3
Method: DFT, GGA-PBE
State: relaxed

Cell lengths 5.3705, 5.3705, 5.3705 Å; angles 90.00, 90.00, 90.00 degrees
With the nearest neighbours (Å) after each atom.
Element x y z (fractional)
Ge  0.0000  0.0000  0.0000  6 Te 2.69
Te  0.0000  0.5000  0.0000  2 Ge 2.69
Te  0.0000  0.0000  0.5000  2 Ge 2.69
Te  0.5000  0.0000  0.0000  2 Ge 2.69
Co  0.5000  0.5000  0.5000  12 Te 3.80

Summary:
V in A^3/atom: 31.0
Total moment in μB/cell: 2.7
Uncorrected energy in eV per cell: -16.03
Space-group type: No. 221
ΔE_f (raw) in eV per atom: 1.02



# 10
Material: CoGeTe
Method: DFT, GGA-PBE
State: relaxed

Cell lengths 6.0435, 6.0435, 6.0435 Å; angles 90.00, 90.00, 90.00 degrees
With the nearest neighbours (Å) after each atom.
Element x y z (fractional)
Co  0.0111  0.0111  0.0111  3 Ge 2.44, 3 Te 2.55
Co  0.4889  0.9889  0.5111  3 Ge 2.44, 3 Te 2.55
Co  0.5111  0.4889  0.9889  3 Ge 2.44, 3 Te 2.55
Co  0.9889  0.5111  0.4889  3 Ge 2.44, 3 Te 2.55
Ge  0.6293  0.6293  0.6293  3 Co 2.44
Ge  0.8707  0.3707  0.1293  3 Co 2.44
Ge  0.1293  0.8707  0.3707  3 Co 2.44
Ge  0.3707  0.1293  0.8707  3 Co 2.44
Te  0.3657  0.3657  0.3657  3 Co 2.55, 1 Ge 2.76
Te  0.1343  0.6343  0.8657  3 Co 2.55, 1 Ge 2.76
Te  0.8657  0.1343  0.6343  3 Co 2.55, 1 Ge 2.76
Te  0.6343  0.8657  0.1343  3 Co 2.55, 1 Ge 2.76

Summary:
V in A^3/atom: 18.4
Total moment in μB/cell: 0.0
Uncorrected energy in eV per cell: -59.68
Space-group type: No. 198
ΔE_f (raw) in eV per atom: -0.02



Copy entry 1 word for word.
Material: Co3GeTe
Method: DFT, GGA-PBE
State: relaxed

Cell lengths 4.3834, 4.3834, 4.3834 Å; angles 90.00, 90.00, 90.00 degrees
With the nearest neighbours (Å) after each atom.
Element x y z (fractional)
Ge  0.0000  0.0000  0.0000  6 Co 2.19
Te  0.5000  0.5000  0.5000  12 Co 3.10
Co  0.0000  0.5000  0.0000  2 Ge 2.19
Co  0.0000  0.0000  0.5000  2 Ge 2.19
Co  0.5000  0.0000  0.0000  2 Ge 2.19

Summary:
V in A^3/atom: 16.8
Total moment in μB/cell: 2.7
Uncorrected energy in eV per cell: -25.56
Space-group type: No. 221
ΔE_f (raw) in eV per atom: 0.70